Record 1
First-principles (GGA-PBEsol) data for Gd3Se2NO after structural relaxation, as listed in the Alexandria database.

Computed properties:
- E_tot: -11.58 eV/atom
- Total moment: 0.998 μB per atom
- Space-group type: C2/m

Unit cell a=3.908 b=7.953 c=9.635 alpha=96.36 beta=90.00 gamma=104.22
Each line ends with the local moment (μB).
Element x y z (fractional)
Gd: 0.610 0.220 0.947  6.89
Gd: 0.800 0.600 0.327  6.90
Gd: 0.042 0.084 0.264  -6.88
Gd: 0.200 0.400 0.673  6.90
Gd: 0.958 0.916 0.736  -6.88
Gd: 0.390 0.780 0.053  6.89
Se: 0.627 0.254 0.476  -0.01
Se: 0.789 0.578 0.850  -0.02
Se: 0.211 0.422 0.150  -0.02
Se: 0.373 0.746 0.524  -0.01
O: 0.466 0.932 0.858  0.00
O: 0.534 0.068 0.142  0.00
N: 0.100 0.200 0.813  -0.02
N: 0.900 0.800 0.187  -0.02

=====

Record 2
First-principles (GGA-PBEsol) data for BeCdHg2 after structural relaxation, as listed in the Alexandria database.

Computed properties:
- E_tot: -1.21 eV/atom
- E_form: 370 meV/atom
- Total moment: 0.000 μB per atom
- Space-group type: Fm-3m
- Energy above the lowest structure with this stoichiometry: 219 meV per atom

Unit cell a=4.721 b=4.721 c=4.721 alpha=60.00 beta=60.00 gamma=60.00
Element x y z (fractional)
Be: 0.000 0.000 0.000
Cd: 0.500 0.500 0.500
Hg: 0.250 0.250 0.250
Hg: 0.750 0.750 0.750

=====

Record 3
First-principles (GGA-PBEsol) data for LiCuPO4 after structural relaxation, as listed in the Alexandria database.

Computed properties:
- E_tot: -6.48 eV/atom
- Total moment: 0.146 μB per atom
- Space-group type: Pnma
- Energy above the lowest structure with this stoichiometry: 52 meV per atom

Unit cell a=4.934 b=6.090 c=9.235 alpha=90.00 beta=90.00 gamma=90.00
Each line ends with the local moment (μB).
Element x y z (fractional)
Cu: 0.535 0.750 0.851  0.61
Cu: 0.465 0.250 0.149  0.61
Cu: 0.035 0.250 0.649  0.61
Cu: 0.965 0.750 0.351  0.61
P: 0.966 0.250 0.310  0.00
P: 0.466 0.750 0.190  0.00
P: 0.534 0.250 0.810  0.00
P: 0.034 0.750 0.690  0.00
Li: 0.000 0.500 0.000  0.00
Li: 0.500 0.000 0.500  0.00
Li: 0.000 0.000 0.000  0.00
Li: 0.500 0.500 0.500  0.00
O: 0.111 0.750 0.853  0.03
O: 0.658 0.453 0.886  0.10
O: 0.389 0.750 0.353  0.03
O: 0.223 0.250 0.835  0.12
O: 0.889 0.250 0.147  0.03
O: 0.842 0.453 0.386  0.10
O: 0.842 0.047 0.386  0.10
O: 0.158 0.547 0.614  0.10
O: 0.277 0.250 0.335  0.12
O: 0.158 0.953 0.614  0.10
O: 0.611 0.250 0.647  0.03
O: 0.342 0.547 0.114  0.10
O: 0.777 0.750 0.165  0.12
O: 0.342 0.953 0.114  0.10
O: 0.723 0.750 0.665  0.12
O: 0.658 0.047 0.886  0.10

=====

Record 4
First-principles (GGA-PBEsol) data for KAuSe2 after structural relaxation, as listed in the Alexandria database.

Computed properties:
- E_tot: -3.73 eV/atom
- Total moment: 0.000 μB per atom
- Space-group type: Cm

Unit cell a=3.816 b=5.387 c=6.113 alpha=90.31 beta=108.19 gamma=90.00
Element x y z (fractional)
K: 0.778 0.250 0.556
Se: 0.936 0.752 0.871
Se: 0.213 0.749 0.427
Au: 0.573 0.750 0.146

=====

Record 5
First-principles (GGA-PBEsol) data for BaEuO3 after structural relaxation, as listed in the Alexandria database.

Computed properties:
- E_tot: -8.15 eV/atom
- Total moment: 1.000 μB per atom
- Space-group type: Pm-3m

Unit cell a=4.364 b=4.364 c=4.364 alpha=90.00 beta=90.00 gamma=90.00
Each line ends with the local moment (μB).
Element x y z (fractional)
O: 0.500 0.000 0.500  -0.26
O: 0.500 0.500 0.000  -0.26
O: 0.000 0.500 0.500  -0.26
Ba: 0.000 0.000 0.000  0.01
Eu: 0.500 0.500 0.500  5.80

=====

Record 6
First-principles (GGA-PBEsol) data for BaTc2Pt after structural relaxation, as listed in the Alexandria database.

Computed properties:
- E_tot: -6.93 eV/atom
- E_form: 981 meV/atom
- Total moment: 0.115 μB per atom
- Space-group type: I-4m2
- Energy above the lowest structure with this stoichiometry: 701 meV per atom

Unit cell a=4.542 b=4.813 c=4.542 alpha=61.85 beta=90.00 gamma=118.15
Each line ends with the local moment (μB).
Element x y z (fractional)
Tc: 0.250 0.500 0.250  -0.06
Tc: 0.000 0.000 0.000  0.44
Ba: 0.500 0.000 0.500  0.00
Pt: 0.750 0.500 0.750  0.05